Density functional theory data (GGA-PBE) for crystalline Sc4Sn at its relaxed geometry.

Properties
energy above the most stable polymorph in this dataset = 0 meV/atom
E_form = -1.4 eV per formula unit
mass density = 4.33 g/cm³
V = 22.91 Å³/atom
uncorrected energy = -122.77 eV for the cell shown
total magnetization = 2.295 μB per cell

Cell: 4.8716 6.2431 15.0665 Å, 90.00 90.00 90.00°
Last column: nearest neighbours and their distance in Å.
Space group Imma (No. 74)
Unique sites:
Sc: 0.0000 0.0000 0.0000  8 Sc 2.98-3.31, 4 Sn 3.34
Sc: 0.0000 0.0003 0.1980  7 Sc 2.90-3.20, 2 Sn 3.18
Sc: 0.0000 0.2500 0.3935  3 Sn 3.12-3.27, 10 Sc 3.20-3.33
Sn: 0.0000 0.2500 0.6109  13 Sc 3.12-3.34